1.
KIn2NiTe: optimized geometry, PBE.

Unit cell a=6.066 b=4.768 c=6.066 alpha=90.00 beta=90.00 gamma=90.00
Positions (direct):
Te 0.500 0.500 0.500
Ni 0.000 0.500 0.000
K 0.000 0.000 0.000
In 0.500 0.000 0.000
In 0.000 0.000 0.500

Properties
The space-group type is No. 123. Its uncorrected formation energy is 1053 meV per atom.



2.
Sc2InN: optimized geometry, PBE.

Unit cell a=8.397 b=8.397 c=8.397 alpha=26.10 beta=26.10 gamma=26.10
Positions (direct):
Sc 0.076 0.076 0.076
Sc 0.924 0.924 0.924
In 0.500 0.500 0.500
N 0.000 0.000 0.000

Properties
The space-group type is No. 166. Its uncorrected formation energy is -181 meV per atom.



3.
SiSn4S6: optimized geometry, PBE.

Unit cell a=7.006 b=8.847 c=11.631 alpha=82.81 beta=72.47 gamma=66.68
Positions (direct):
S 0.994 0.648 0.442
S 0.916 0.148 0.942
S 0.206 0.285 0.695
S 0.894 0.014 0.636
S 0.502 0.029 0.448
S 0.456 0.514 0.136
S 0.949 0.154 0.271
S 0.400 0.151 0.958
S 0.021 0.529 0.948
S 0.627 0.654 0.771
S 0.814 0.785 0.195
S 0.491 0.651 0.458
Sn 0.597 0.728 0.984
Sn 0.090 0.457 0.169
Sn 0.284 0.957 0.669
Sn 0.001 0.664 0.675
Sn 0.661 0.164 0.175
Sn 0.660 0.277 0.791
Sn 0.272 0.777 0.291
Sn 0.691 0.228 0.484
Si 0.702 0.778 0.387
Si 0.133 0.278 0.887

Properties
The space-group type is No. 9. Its uncorrected formation energy is -444 meV per atom.



4.
AcNiSnH: optimized geometry, PBE.

Unit cell a=4.468 b=4.469 c=4.718 alpha=90.01 beta=90.00 gamma=119.99
Positions (direct):
H 0.239 0.477 0.222
Ac 0.572 0.144 0.319
Sn 0.905 0.810 0.812
Ni 0.238 0.477 0.887

Properties
The space-group type is No. 156.



no.,total DFT energy (no corrections) (Ry per atom)
1,-0.1504
2,-0.4493
3,-0.3413
4,-0.3561